A relaxed structure of RbVCO5. Source: Alexandria via LeMat-Bulk, functional PBE with a Hubbard U.

Cell lengths 5.7447, 5.7447, 7.0392 Å; angles 106.49, 106.49, 105.85 degrees
Last column: nearest neighbours and their distance in Å.
Sites, in units of the cell vectors:
O1 0.2228 0.4525 0.6183  1 C 1.42
O2 0.8691 0.2671 0.1285  1 C 1.39
O3 0.9441 0.0559 0.7500  2 V 1.83
O4 0.1309 0.7329 0.8715  1 C 1.39
O5 0.2671 0.8691 0.6285  1 C 1.39
O6 0.7772 0.5475 0.3817  1 C 1.42
O7 0.4525 0.2228 0.1183  1 C 1.42
O8 0.7329 0.1309 0.3715  1 C 1.39
O9 0.0559 0.9441 0.2500  2 V 1.83
O10 0.5475 0.7772 0.8817  1 C 1.42
V1 0.0000 0.0000 0.5000  4 O 1.83-1.99
V2 0.0000 0.0000 0.0000  4 O 1.83-1.99
Rb1 0.3429 0.6571 0.2500  7 O 2.63-2.81
Rb2 0.6571 0.3429 0.7500  7 O 2.63-2.81
C1 0.2835 0.7165 0.7500  4 O 1.39-1.42
C2 0.7165 0.2835 0.2500  4 O 1.39-1.42

Electronic total energy (eV/atom): -6.57